Entry 1:
First-principles (PBE-GGA) data for VTeAu3 after structural relaxation, as listed in Alexandria via LeMat-Bulk.

Cell lengths 5.205, 5.205, 5.205 Å; angles 90.00, 90.00, 90.00 degrees
Each line ends with the local moment (μB).
Sites, in units of the cell vectors:
Te: 0.000 0.000 0.000  0.07
Au: 0.000 0.500 0.000  0.03
Au: 0.000 0.000 0.500  0.03
Au: 0.500 0.000 0.000  0.03
V: 0.500 0.500 0.500  3.15

Calculated values
The raw total energy comes out at -17.138 eV per cell. The formation energy (no corrections) comes out at 0.99 eV/atom.



Entry 2:
First-principles (PBE-GGA) data for Sc2PtS after structural relaxation, as listed in Alexandria via LeMat-Bulk.

Cell lengths 8.434, 8.434, 8.434 Å; angles 22.94, 22.94, 22.94 degrees
Sites, in units of the cell vectors:
Sc: 0.898 0.898 0.898
Sc: 0.102 0.102 0.102
S: 0.500 0.500 0.500
Pt: 0.000 0.000 0.000

Calculated values
The raw total energy comes out at -25.923 eV per cell. The formation energy (no corrections) comes out at -0.77 eV/atom.



Entry 3:
First-principles (PBE-GGA) data for SiB3C after structural relaxation, as listed in Alexandria via LeMat-Bulk.

Cell lengths 4.172, 2.965, 7.831 Å; angles 90.00, 90.00, 90.00 degrees
Sites, in units of the cell vectors:
Si: 0.500 0.000 0.543
Si: 0.500 0.500 0.043
B: 0.000 0.000 0.856
B: 0.000 0.500 0.356
B: 0.210 0.000 0.323
B: 0.790 0.000 0.323
B: 0.210 0.500 0.823
B: 0.790 0.500 0.823
C: 0.500 0.000 0.184
C: 0.500 0.500 0.684

Calculated values
The raw total energy comes out at -66.417 eV per cell. The distance to the lowest polymorph of the same formula is 92 meV/atom. The formation energy (no corrections) comes out at 0.29 eV/atom.



Entry 4:
First-principles (PBE-GGA) data for CrIrSe3 after structural relaxation, as listed in Alexandria via LeMat-Bulk.

Cell lengths 4.606, 4.606, 4.606 Å; angles 90.00, 90.00, 90.00 degrees
Sites, in units of the cell vectors:
Cr: 0.000 0.000 0.000
Ir: 0.500 0.500 0.500
Se: 0.000 0.500 0.000
Se: 0.000 0.000 0.500
Se: 0.500 0.000 0.000

Calculated values
The raw total energy comes out at -24.381 eV per cell. The distance to the lowest polymorph of the same formula is 0 meV/atom. The formation energy (no corrections) comes out at 0.91 eV/atom.



Entry 5:
First-principles (PBE-GGA) data for Sc2BeBiN after structural relaxation, as listed in Alexandria via LeMat-Bulk.

Cell lengths 5.439, 4.344, 5.439 Å; angles 90.00, 90.00, 90.00 degrees
Sites, in units of the cell vectors:
Sc: 0.000 0.000 0.500
Sc: 0.500 0.000 0.000
Be: 0.000 0.500 0.000
Bi: 0.000 0.000 0.000
N: 0.500 0.500 0.500

Calculated values
The raw total energy comes out at -21.087 eV per cell. The formation energy (no corrections) comes out at 1.50 eV/atom.



Entry 6:
First-principles (PBE-GGA) data for Zr2AgF after structural relaxation, as listed in Alexandria via LeMat-Bulk.

Cell lengths 5.170, 5.170, 7.480 Å; angles 69.78, 69.78, 90.00 degrees
Sites, in units of the cell vectors:
Zr: 0.530 0.125 0.250
Zr: 0.220 0.625 0.250
Zr: 0.375 0.470 0.750
Zr: 0.875 0.780 0.750
Ag: 0.000 0.000 0.000
Ag: 0.750 0.250 0.500
F: 0.500 0.500 0.000
F: 0.250 0.750 0.500

Calculated values
The raw total energy comes out at -46.792 eV per cell. The distance to the lowest polymorph of the same formula is 67 meV/atom. The formation energy (no corrections) comes out at -0.39 eV/atom.



Entry 7:
First-principles (PBE-GGA) data for U2Ga3Ni3 after structural relaxation, as listed in Alexandria via LeMat-Bulk.

Cell lengths 2.718, 7.601, 7.601 Å; angles 120.00, 90.00, 90.00 degrees
Each line ends with the local moment (μB).
Sites, in units of the cell vectors:
U: 0.000 0.667 0.333  2.68
U: 0.000 0.333 0.667  2.68
Ga: 0.000 0.223 0.223  0.03
Ga: 0.000 0.000 0.777  0.03
Ga: 0.000 0.777 0.000  0.03
Ni: 0.500 0.687 0.687  0.16
Ni: 0.500 0.000 0.313  0.16
Ni: 0.500 0.313 0.000  0.16

Calculated values
The raw total energy comes out at -49.076 eV per cell. The formation energy is -0.0094 eV per atom.



Entry 8:
First-principles (PBE-GGA) data for RbAcSnSe3 after structural relaxation, as listed in Alexandria via LeMat-Bulk.

Cell lengths 4.429, 9.016, 12.063 Å; angles 105.30, 90.00, 90.00 degrees
Sites, in units of the cell vectors:
Rb: 0.250 0.248 0.277
Rb: 0.750 0.752 0.723
Ac: 0.250 0.658 0.150
Ac: 0.750 0.342 0.850
Sn: 0.250 0.136 0.565
Sn: 0.750 0.864 0.435
Se: 0.750 0.915 0.226
Se: 0.250 0.085 0.774
Se: 0.250 0.663 0.411
Se: 0.750 0.337 0.589
Se: 0.750 0.411 0.115
Se: 0.250 0.589 0.885

Calculated values
The raw total energy comes out at -54.878 eV per cell. The formation energy (no corrections) comes out at -1.32 eV/atom.



> What is the raw total energy in the eighth record?

-54.878 eV per cell



Please write out number 7 again, unchanged.
First-principles (PBE-GGA) data for U2Ga3Ni3 after structural relaxation, as listed in Alexandria via LeMat-Bulk.

Cell lengths 2.718, 7.601, 7.601 Å; angles 120.00, 90.00, 90.00 degrees
Each line ends with the local moment (μB).
Sites, in units of the cell vectors:
U: 0.000 0.667 0.333  2.68
U: 0.000 0.333 0.667  2.68
Ga: 0.000 0.223 0.223  0.03
Ga: 0.000 0.000 0.777  0.03
Ga: 0.000 0.777 0.000  0.03
Ni: 0.500 0.687 0.687  0.16
Ni: 0.500 0.000 0.313  0.16
Ni: 0.500 0.313 0.000  0.16

Calculated values
The raw total energy comes out at -49.076 eV per cell. The formation energy is -0.0094 eV per atom.



> Look up the raw total energy of the fourth one.

-24.381 eV per cell